#one
Below is Cu2Mo2C after structural relaxation, with properties calculated at the PBE level.

Geometry as POSCAR:
```
Cu2Mo2C
1.0
5.543 0.000 0.000
0.000 5.543 0.000
0.000 0.000 4.418
Cu Mo C
4 4 2
direct
0.346 0.154 0.500
0.846 0.346 0.500
0.154 0.654 0.500
0.654 0.846 0.500
0.164 0.336 0.000
0.336 0.836 0.000
0.836 0.664 0.000
0.664 0.164 0.000
0.500 0.500 0.000
0.000 0.000 0.000
```

#two
Below is Cu2Mo2C after structural relaxation, with properties calculated at the PBE level.

Geometry as POSCAR:
```
Cu2Mo2C
1.0
-0.168 3.027 -0.319
-1.557 -0.360 -2.596
-6.806 1.379 2.102
C Cu Mo
1 2 2
direct
0.000 0.000 0.000
0.250 0.750 0.500
0.750 0.250 0.500
0.414 0.414 0.171
0.586 0.586 0.829
```

#one wins, 503 meV per atom ahead of the next structure.